[1]
CaCeGd2: optimized geometry, PBE.

Cell and atoms, written as CIF:
```
data_CaCeGd2
_chemical_formula_sum 'Ca4 Ce4 Gd8'
_space_group_name_H-M_alt 'F m -3 m'
_space_group_IT_number 225
_space_group_name_Hall '-F 4 2 3'
_cell_length_a 8.1722
_cell_length_b 8.1722
_cell_length_c 8.1722
_cell_angle_alpha 90.00
_cell_angle_beta 90.00
_cell_angle_gamma 90.00
loop_
_atom_site_label
_atom_site_fract_x
_atom_site_fract_y
_atom_site_fract_z
Ca1 0.0000 0.0000 0.0000
Ce1 0.0000 0.0000 0.5000
Gd1 0.2500 0.2500 0.2500
```



[2]
ZrPt2W: optimized geometry, PBE.

Cell and atoms, written as CIF:
```
data_ZrPt2W
_chemical_formula_sum 'Zr2 Pt4 W2'
_space_group_name_H-M_alt 'C 1 m 1'
_space_group_IT_number 8
_space_group_name_Hall 'C -2y'
_cell_length_a 9.4541
_cell_length_b 2.8880
_cell_length_c 5.0943
_cell_angle_alpha 90.00
_cell_angle_beta 100.40
_cell_angle_gamma 90.00
loop_
_atom_site_label
_atom_site_fract_x
_atom_site_fract_y
_atom_site_fract_z
Zr1 0.0000 0.0000 0.0000
Pt1 0.2468 0.0000 0.7854
Pt2 0.4935 0.0000 0.4939
W1 0.2500 0.5000 0.3168
```



The E results, record by record, are as follows: -8.81; -8.84 eV/atom.